# SiHRu2 PBE optimized geometry
data_SiHRu2
_chemical_formula_sum 'Si4 H4 Ru8'
_cell_length_a 5.755
_cell_length_b 5.755
_cell_length_c 5.292
_cell_angle_alpha 90.00
_cell_angle_beta 90.00
_cell_angle_gamma 90.00
_symmetry_space_group_name_H-M 'I -4 2 d'
_symmetry_Int_Tables_number 122
_symmetry_space_group_name_Hall 'I -4 2bw'
loop_
_atom_site_label
_atom_site_type_symbol
_atom_site_fract_x
_atom_site_fract_y
_atom_site_fract_z
Si1 Si 0.000 0.000 0.000
H1 H 0.000 0.000 0.500
Ru1 Ru 0.170 0.250 0.625
# - relative energy among the computed polymorphs (meV/atom) = 0

***

Below is crystalline SmSiHRu2 at its relaxed geometry, with properties calculated at the PBE level.

Cell and atoms, written as CIF:
```
data_SmSiHRu2
_chemical_formula_sum 'Sm4 Si4 H4 Ru8'
_cell_length_a 3.426
_cell_length_b 11.179
_cell_length_c 7.544
_cell_angle_alpha 90.00
_cell_angle_beta 90.00
_cell_angle_gamma 90.00
_symmetry_space_group_name_H-M 'C m c m'
_symmetry_Int_Tables_number 63
_symmetry_space_group_name_Hall '-C 2c 2'
loop_
_atom_site_label
_atom_site_type_symbol
_atom_site_fract_x
_atom_site_fract_y
_atom_site_fract_z
Sm1 Sm 0.000 0.046 0.250
Si1 Si 0.000 0.232 0.750
H1 H 0.000 0.500 0.000
Ru1 Ru 0.000 0.344 0.050
```

***

Below is crystalline SrSiHRu2 at its relaxed geometry, with properties calculated at the PBE level.

Cell and atoms, written as CIF:
```
data_SrSiHRu2
_chemical_formula_sum 'Sr1 Si1 H1 Ru2'
_cell_length_a 4.665
_cell_length_b 4.665
_cell_length_c 3.841
_cell_angle_alpha 90.00
_cell_angle_beta 90.00
_cell_angle_gamma 90.00
_symmetry_space_group_name_H-M 'P 4/m m m'
_symmetry_Int_Tables_number 123
_symmetry_space_group_name_Hall '-P 4 2'
loop_
_atom_site_label
_atom_site_type_symbol
_atom_site_fract_x
_atom_site_fract_y
_atom_site_fract_z
Sr1 Sr 0.000 0.000 0.000
Si1 Si 0.500 0.500 0.500
H1 H 0.500 0.500 0.000
Ru1 Ru 0.000 0.500 0.500
```

***

Ordered electronic total energy results: -110.6, -138.2, -26.2; unit eV/cell.
Ordered theoretical density results: 8.76, 8.77, 6.33; unit Mg/m³.